1.
The following is a GGA-PBE calculation of crystalline ThNb2WC4 at its relaxed geometry, from Alexandria.

Unit cell a=6.080 b=6.080 c=11.243 alpha=90.00 beta=90.00 gamma=148.28
Sites, in units of the cell vectors:
Th 0.106 0.894 0.750
Th 0.894 0.106 0.250
Nb 0.373 0.627 0.536
Nb 0.373 0.627 0.964
Nb 0.627 0.373 0.036
Nb 0.627 0.373 0.464
W 0.158 0.842 0.250
W 0.842 0.158 0.750
C 0.000 0.000 0.000
C 0.000 0.000 0.500
C 0.264 0.736 0.113
C 0.264 0.736 0.387
C 0.443 0.557 0.750
C 0.557 0.443 0.250
C 0.736 0.264 0.613
C 0.736 0.264 0.887

Values from the calculation:
**DFT formation energy**: -0.205 eV/atom
**Uncorrected energy**: -158.1 eV/cell
**Calculated volume**: 13.7 A^3/atom
**SG**: Cmcm (63)



2.
The following is a GGA-PBE calculation of crystalline Y2HoSe at its relaxed geometry, from Alexandria.

Unit cell a=3.799 b=3.799 c=28.069 alpha=90.00 beta=90.00 gamma=120.00
Sites, in units of the cell vectors:
Y 0.000 0.000 0.000
Y 0.000 0.000 0.201
Y 0.333 0.667 0.667
Y 0.333 0.667 0.868
Y 0.667 0.333 0.333
Y 0.667 0.333 0.535
Ho 0.000 0.000 0.433
Ho 0.333 0.667 0.100
Ho 0.667 0.333 0.767
Se 0.000 0.000 0.601
Se 0.333 0.667 0.267
Se 0.667 0.333 0.934

Values from the calculation:
**Relative energy among the computed polymorphs**: 0.0000 eV per atom
**Uncorrected energy**: -72.9 eV/cell
**Calculated volume**: 29.2 A^3/atom
**SG**: R3m (160)



no.,total magnetization (μB per atom)
1,0.000
2,0.105